*A*
# Cd4Pb

A relaxed structure of Cd4Pb (PBE, Alexandria).

Unit cell a=7.7078 b=7.7078 c=7.7078 alpha=147.79 beta=147.79 gamma=46.20
Last column: nearest neighbours and their distance in Å.
Fractional positions:
Cd 0.6010 0.6010 0.0000  5 Cd 2.86-3.01
Cd 0.3990 0.3990 0.0000  5 Cd 2.86-3.01
Pb 0.0000 0.0000 0.0000  8 Cd 3.35
Cd 0.7500 0.2500 0.5000  8 Cd 3.01-3.02
Cd 0.2500 0.7500 0.5000  8 Cd 3.01-3.02

Crystal system ... tetragonal
M_tot ... 0.00 μB/atom
Space group ... I4/mmm (139)

---

*B*
# Cd4Pb

A relaxed structure of Cd4Pb (PBE, Alexandria).

Unit cell a=8.7856 b=8.7856 c=8.7856 alpha=109.47 beta=109.47 gamma=109.47
Last column: nearest neighbours and their distance in Å.
Fractional positions:
Cd 0.7800 0.7800 0.7800  6 Cd 2.89-3.16, 1 Pb 3.15
Cd 0.0000 0.3490 0.3490  7 Cd 2.89-3.06
Pb 0.5784 0.0000 0.0000  4 Cd 3.15-3.33
Cd 0.7500 0.5000 0.2500  4 Cd 2.96
Cd 0.0000 0.2200 0.0000  6 Cd 2.89-3.16, 1 Pb 3.15
Cd 0.0000 0.6510 0.6510  7 Cd 2.89-3.06
Cd 0.7500 0.2500 0.5000  4 Cd 2.96
Cd 0.2500 0.7500 0.5000  4 Cd 2.96
Pb 0.0000 0.5784 0.0000  4 Cd 3.15-3.33
Cd 0.3490 0.3490 0.0000  7 Cd 2.89-3.06
Cd 0.2500 0.5000 0.7500  4 Cd 2.96
Cd 0.5000 0.2500 0.7500  4 Cd 2.96
Pb 0.4216 0.4216 0.4216  4 Cd 3.15-3.33
Cd 0.6510 0.0000 0.6510  7 Cd 2.89-3.06
Cd 0.6510 0.6510 0.0000  7 Cd 2.89-3.06
Pb 0.0000 0.0000 0.5784  4 Cd 3.15-3.33
Cd 0.3490 0.0000 0.3490  7 Cd 2.89-3.06
Cd 0.5000 0.7500 0.2500  4 Cd 2.96
Cd 0.0000 0.0000 0.2200  6 Cd 2.89-3.16, 1 Pb 3.15
Cd 0.2200 0.0000 0.0000  6 Cd 2.89-3.16, 1 Pb 3.15

Crystal system ... cubic
M_tot ... 0.00 μB/atom
Space group ... I-43m (217)

---

Relative energies, unit kJ/mol of atoms: *A* 0.0; *B* 1.5